1.
# GaIrOs3

An optimized crystal structure of GaIrOs3 (GGA-PBE, the Alexandria database).

Values from the calculation:
**Total moment**: 0.00 μB per cell
**Energy above the most stable polymorph in this dataset**: 18.7 kJ/mol of atoms
**Formation energy**: 2.282 eV/atom
**SG**: Pm-3m (221)

a = 4.732 Å, b = 4.732 Å, c = 4.732 Å
α = 90.00°, β = 90.00°, γ = 90.00°
Sites, in units of the cell vectors:
Ir 0.000 0.000 0.000
Os 0.000 0.500 0.000
Os 0.000 0.000 0.500
Os 0.500 0.000 0.000
Ga 0.500 0.500 0.500

=====

2.
# Ga2IrOs

An optimized crystal structure of Ga2IrOs (GGA-PBE, the Alexandria database).

Values from the calculation:
**Total moment**: 0.00 μB per cell
**Formation energy**: 0.480 eV/atom
**SG**: I-42d (122)

a = 6.882 Å, b = 6.882 Å, c = 5.572 Å
α = 51.86°, β = 51.86°, γ = 90.00°
Sites, in units of the cell vectors:
Ir 0.000 0.000 0.000
Ir 0.750 0.250 0.500
Os 0.500 0.500 0.000
Os 0.250 0.750 0.500
Ga 0.630 0.125 0.250
Ga 0.120 0.625 0.250
Ga 0.375 0.370 0.750
Ga 0.875 0.880 0.750

=====

3.
# PmGa4Ir2Os

An optimized crystal structure of PmGa4Ir2Os (GGA-PBE, the Alexandria database).

Values from the calculation:
**Total moment**: 0.00 μB per cell
**Formation energy**: -0.421 eV/atom
**SG**: R-3m (166)

a = 4.267 Å, b = 4.267 Å, c = 9.036 Å
α = 76.34°, β = 76.34°, γ = 60.00°
Sites, in units of the cell vectors:
Pm 0.000 0.000 0.000
Ga 0.401 0.401 0.796
Ga 0.868 0.868 0.396
Ga 0.132 0.132 0.604
Ga 0.599 0.599 0.204
Ir 0.762 0.762 0.713
Ir 0.238 0.238 0.287
Os 0.500 0.500 0.500

=====

4.
# PrGa4Ir2Os

An optimized crystal structure of PrGa4Ir2Os (GGA-PBE, the Alexandria database).

Values from the calculation:
**Total moment**: 0.00 μB per cell
**Formation energy**: -0.415 eV/atom
**SG**: R-3m (166)

a = 4.273 Å, b = 4.273 Å, c = 9.155 Å
α = 76.50°, β = 76.50°, γ = 60.00°
Sites, in units of the cell vectors:
Pr 0.000 0.000 0.000
Ga 0.403 0.403 0.792
Ga 0.868 0.868 0.397
Ga 0.132 0.132 0.603
Ga 0.597 0.597 0.208
Ir 0.764 0.764 0.709
Ir 0.236 0.236 0.291
Os 0.500 0.500 0.500

=====

5.
# TaGaIrOs

An optimized crystal structure of TaGaIrOs (GGA-PBE, the Alexandria database).

Values from the calculation:
**Total moment**: 0.62 μB per cell
**Energy above the most stable polymorph in this dataset**: 11.3 kJ/mol of atoms
**Formation energy**: -0.281 eV/atom
**SG**: F-43m (216)

a = 4.441 Å, b = 4.441 Å, c = 4.441 Å
α = 60.00°, β = 60.00°, γ = 60.00°
Each line ends with the local moment (μB).
Sites, in units of the cell vectors:
Ir 0.000 0.000 0.000  0.30
Os 0.500 0.500 0.500  0.23
Ga 0.250 0.250 0.250  0.01
Ta 0.750 0.750 0.750  0.06

=====

6.
# TaGaIrOs

An optimized crystal structure of TaGaIrOs (GGA-PBE, the Alexandria database).

Values from the calculation:
**Total moment**: 0.00 μB per cell
**Energy above the most stable polymorph in this dataset**: 0.0 kJ/mol of atoms
**Formation energy**: -0.398 eV/atom
**SG**: I-4m2 (119)

a = 4.167 Å, b = 4.167 Å, c = 4.604 Å
α = 116.90°, β = 116.90°, γ = 90.00°
Sites, in units of the cell vectors:
Ta 0.250 0.750 0.500
Ga 0.750 0.250 0.500
Ir 0.000 0.000 0.000
Os 0.500 0.500 0.000

=====

Ordered final energy results: -34.17; -48.45; -49.18; -49.16; -36.09; -36.56; unit eV/cell.